(1)
The following is a DFT calculation (PBE-GGA) of an optimized crystal structure of Ac2MgSiO6.

Mass density   8.25 g/cm³
Formation energy from raw total energies   -3.094 eV per atom
Space-group type   P4mm
Final energy   -0.279 hartree per atom
Crystal system   tetragonal

Cell: 4.053 5.471 5.471 Å, 90.00 90.00 90.00°
Element x y z (fractional)
1 O 0.655 0.228 0.228
2 O 0.655 0.228 0.772
3 O 0.178 0.000 0.000
4 O 0.655 0.772 0.228
5 O 0.655 0.772 0.772
6 O 0.144 0.500 0.500
7 Ac 0.128 0.000 0.500
8 Ac 0.128 0.500 0.000
9 Mg 0.641 0.500 0.500
10 Si 0.607 0.000 0.000

=====

(2)
The following is a DFT calculation (PBE-GGA) of an optimized crystal structure of CdOs2Rh.

Mass density   15.87 g/cm³
Space-group type   P4/mmm
ΔE_f   0.601 eV/atom
Final energy   -0.260 hartree per atom
Crystal system   tetragonal

Cell: 3.773 3.773 4.379 Å, 90.00 90.00 90.00°
Element x y z (fractional)
1 Rh 0.500 0.500 0.500
2 Os 0.500 0.000 0.000
3 Os 0.000 0.500 0.000
4 Cd 0.000 0.000 0.500

=====

(3)
The following is a DFT calculation (PBE-GGA) of an optimized crystal structure of Rb2LaIrF6.

Mass density   4.71 g/cm³
Formation energy from raw total energies   -2.446 eV per atom
Space-group type   I4/mmm
Final energy   -0.189 hartree per atom
Crystal system   tetragonal

Cell: 6.999 6.999 6.642 Å, 58.20 58.20 90.00°
Element x y z (fractional)
1 Rb 0.750 0.250 0.500
2 Rb 0.250 0.750 0.500
3 F 0.269 0.731 0.000
4 F 0.237 0.237 0.527
5 F 0.731 0.269 0.000
6 F 0.763 0.763 0.473
7 F 0.269 0.269 0.000
8 F 0.731 0.731 0.000
9 Ir 0.000 0.000 0.000
10 La 0.500 0.500 0.000

=====

(4)
The following is a DFT calculation (PBE-GGA) of an optimized crystal structure of Na2SiGe2.

Mass density   3.36 g/cm³
Formation energy from raw total energies   0.026 eV per atom
Space-group type   P4/mbm
Final energy   -0.126 hartree per atom
Crystal system   tetragonal

Cell: 6.613 6.613 4.953 Å, 90.00 90.00 90.00°
Element x y z (fractional)
1 Ge 0.363 0.863 0.000
2 Ge 0.637 0.137 0.000
3 Ge 0.863 0.637 0.000
4 Ge 0.137 0.363 0.000
5 Si 0.000 0.000 0.000
6 Si 0.500 0.500 0.000
7 Na 0.175 0.675 0.500
8 Na 0.825 0.325 0.500
9 Na 0.675 0.825 0.500
10 Na 0.325 0.175 0.500

=====

(5)
The following is a DFT calculation (PBE-GGA) of an optimized crystal structure of Cs2Pr2RhO6.

Mass density   5.54 g/cm³
Formation energy from raw total energies   -1.946 eV per atom
Space-group type   C2/m
Final energy   -0.233 hartree per atom
Crystal system   monoclinic

Cell: 6.060 6.060 7.211 Å, 97.01 97.01 119.47°
Element x y z (fractional)
1 O 0.343 0.043 0.657
2 O 0.043 0.343 0.657
3 O 0.657 0.957 0.343
4 O 0.243 0.243 0.339
5 O 0.957 0.657 0.343
6 O 0.757 0.757 0.661
7 Cs 0.164 0.836 0.000
8 Cs 0.836 0.164 0.000
9 Pr 0.335 0.665 0.500
10 Pr 0.665 0.335 0.500
11 Rh 0.000 0.000 0.500

=====

(6)
The following is a DFT calculation (PBE-GGA) of an optimized crystal structure of Ac2AgRh4Pb3.

Mass density   11.20 g/cm³
Space-group type   P-4m2
ΔE_f   -0.364 eV/atom
Final energy   -0.203 hartree per atom
Crystal system   tetragonal

Cell: 4.399 4.399 12.226 Å, 90.00 90.00 90.00°
Element x y z (fractional)
1 Rh 0.500 0.500 0.000
2 Rh 0.500 0.000 0.651
3 Rh 0.000 0.500 0.349
4 Rh 0.000 0.000 0.000
5 Ag 0.500 0.500 0.500
6 Pb 0.500 0.000 0.873
7 Pb 0.000 0.000 0.500
8 Pb 0.000 0.500 0.127
9 Ac 0.500 0.000 0.268
10 Ac 0.000 0.500 0.732

=====

(7)
The following is a DFT calculation (PBE-GGA) of an optimized crystal structure of GdUFe2.

Mass density   11.60 g/cm³
Space-group type   P4/mmm
ΔE_f   -0.013 eV/atom
Final energy   -0.389 hartree per atom
Crystal system   tetragonal

Cell: 3.243 3.243 6.901 Å, 90.00 90.00 90.00°
Element x y z (fractional)
1 U 0.500 0.500 0.000
2 Fe 0.000 0.000 0.809
3 Fe 0.000 0.000 0.191
4 Gd 0.500 0.500 0.500

=====

(8)
The following is a DFT calculation (PBE-GGA) of an optimized crystal structure of La12Hg3N5.

Mass density   6.88 g/cm³
Formation energy from raw total energies   -0.770 eV per atom
Space-group type   Ia-3d
Final energy   -0.215 hartree per atom
Crystal system   cubic

Cell: 14.313 14.313 14.313 Å, 109.47 109.47 109.47°
Element x y z (fractional)
1 La 0.510 0.314 0.902
2 La 0.196 0.510 0.608
3 La 0.598 0.608 0.412
4 La 0.912 0.814 0.804
5 La 0.608 0.598 0.912
6 La 0.814 0.902 0.010
7 La 0.990 0.392 0.304
8 La 0.598 0.990 0.686
9 La 0.814 0.912 0.304
10 La 0.588 0.892 0.402
11 La 0.010 0.402 0.814
12 La 0.108 0.696 0.510
13 La 0.892 0.304 0.490
14 La 0.490 0.686 0.098
15 La 0.314 0.510 0.402
16 La 0.392 0.990 0.804
17 La 0.108 0.412 0.098
18 La 0.902 0.814 0.510
19 La 0.412 0.304 0.314
20 La 0.510 0.196 0.108
21 La 0.088 0.186 0.196
22 La 0.412 0.108 0.598
23 La 0.088 0.902 0.392
24 La 0.804 0.314 0.912
25 La 0.010 0.608 0.696
26 La 0.186 0.098 0.990
27 La 0.304 0.412 0.814
28 La 0.196 0.686 0.088
29 La 0.696 0.108 0.010
30 La 0.990 0.598 0.186
31 La 0.402 0.392 0.588
32 La 0.686 0.490 0.598
33 La 0.892 0.588 0.902
34 La 0.804 0.490 0.392
35 La 0.304 0.892 0.990
36 La 0.686 0.196 0.588
37 La 0.912 0.098 0.608
38 La 0.098 0.186 0.490
39 La 0.608 0.010 0.196
40 La 0.186 0.088 0.696
41 La 0.902 0.088 0.892
42 La 0.402 0.010 0.314
43 La 0.588 0.696 0.686
44 La 0.490 0.804 0.892
45 La 0.314 0.804 0.412
46 La 0.696 0.588 0.186
47 La 0.098 0.912 0.108
48 La 0.392 0.402 0.088
49 N 0.000 0.500 0.500
50 N 0.500 0.000 0.000
51 N 0.375 0.250 0.125
52 N 0.875 0.250 0.625
53 N 0.500 0.500 0.500
54 N 0.500 0.000 0.500
55 N 0.625 0.875 0.250
56 N 0.750 0.625 0.375
57 N 0.125 0.750 0.375
58 N 0.500 0.500 0.000
59 N 0.000 0.000 0.500
60 N 0.875 0.625 0.750
61 N 0.250 0.875 0.125
62 N 0.750 0.125 0.875
63 N 0.125 0.375 0.250
64 N 0.000 0.000 0.000
65 N 0.625 0.750 0.875
66 N 0.250 0.375 0.625
67 N 0.375 0.125 0.750
68 N 0.000 0.500 0.000
69 Hg 0.375 0.625 0.250
70 Hg 0.250 0.125 0.375
71 Hg 0.250 0.625 0.875
72 Hg 0.750 0.875 0.625
73 Hg 0.750 0.375 0.125
74 Hg 0.125 0.875 0.750
75 Hg 0.875 0.750 0.125
76 Hg 0.125 0.250 0.875
77 Hg 0.625 0.250 0.375
78 Hg 0.875 0.125 0.250
79 Hg 0.625 0.375 0.750
80 Hg 0.375 0.750 0.625

=====

(9)
The following is a DFT calculation (PBE-GGA) of an optimized crystal structure of MgCu2W.

Mass density   9.47 g/cm³
Space-group type   P2/m
ΔE_f   0.285 eV/atom
Final energy   -0.198 hartree per atom
Crystal system   monoclinic

Cell: 3.807 2.680 6.361 Å, 64.94 90.00 90.00°
Element x y z (fractional)
1 Cu 0.000 0.483 0.517
2 Cu 0.000 0.017 0.983
3 W 0.500 0.750 0.750
4 Mg 0.500 0.250 0.250

=====

(10)
The following is a DFT calculation (PBE-GGA) of an optimized crystal structure of Mg8Al2P.

Mass density   1.97 g/cm³
Space-group type   C2/m
ΔE_f   -0.043 eV/atom
Final energy   -0.087 hartree per atom
Crystal system   monoclinic

Cell: 6.383 5.765 7.926 Å, 78.01 90.00 123.61°
Element x y z (fractional)
1 Mg 0.848 0.697 0.608
2 Mg 0.818 0.152 0.745
3 Mg 0.182 0.848 0.255
4 Mg 0.152 0.303 0.392
5 Mg 0.281 0.561 0.981
6 Mg 0.333 0.152 0.745
7 Mg 0.667 0.848 0.255
8 Mg 0.719 0.439 0.019
9 P 0.000 0.000 0.000
10 Al 0.363 0.726 0.604
11 Al 0.637 0.274 0.396

=====

(11)
The following is a DFT calculation (PBE-GGA) of an optimized crystal structure of VGe2P2.

Mass density   5.08 g/cm³
Space-group type   I4/mmm
ΔE_f   0.331 eV/atom
Final energy   -0.202 hartree per atom
Crystal system   tetragonal

Cell: 3.228 3.228 8.417 Å, 78.95 78.95 90.00°
Element x y z (fractional)
1 Ge 0.584 0.584 0.832
2 Ge 0.416 0.416 0.168
3 V 0.000 0.000 0.000
4 P 0.250 0.750 0.500
5 P 0.750 0.250 0.500

=====

(12)
The following is a DFT calculation (PBE-GGA) of an optimized crystal structure of CsRbHCl2.

Mass density   2.93 g/cm³
Space-group type   Pm
Final energy   -0.105 hartree per atom
Crystal system   monoclinic

Cell: 4.373 5.498 6.854 Å, 90.00 90.71 90.00°
Element x y z (fractional)
1 Cs 0.717 0.500 0.179
2 Cl 0.218 0.000 0.178
3 Cl 0.702 0.500 0.678
4 H 0.717 0.000 0.178
5 Rb 0.203 0.000 0.678

=====

(13)
The following is a DFT calculation (PBE-GGA) of an optimized crystal structure of Na4In3Hg4.

Mass density   6.82 g/cm³
Space-group type   Immm
ΔE_f   -0.129 eV/atom
Final energy   -0.054 hartree per atom
Crystal system   orthorhombic

Cell: 3.608 9.079 10.421 Å, 115.82 99.97 90.00°
Element x y z (fractional)
1 Na 0.341 0.155 0.682
2 Na 0.659 0.473 0.318
3 Na 0.659 0.845 0.318
4 Na 0.341 0.527 0.682
5 Hg 0.734 0.234 0.468
6 Hg 0.500 0.215 0.000
7 Hg 0.500 0.785 0.000
8 Hg 0.266 0.766 0.532
9 In 0.906 0.906 0.811
10 In 0.094 0.094 0.189
11 In 0.000 0.500 0.000

=====

(14)
The following is a DFT calculation (PBE-GGA) of an optimized crystal structure of AcCd2Sn.

Mass density   8.31 g/cm³
Space-group type   Cmcm
ΔE_f   -0.385 eV/atom
Final energy   -0.105 hartree per atom
Crystal system   orthorhombic

Cell: 5.074 6.455 7.572 Å, 90.00 90.00 113.14°
Element x y z (fractional)
1 Cd 0.616 0.233 0.052
2 Cd 0.616 0.233 0.448
3 Cd 0.384 0.767 0.948
4 Cd 0.384 0.767 0.552
5 Sn 0.806 0.611 0.750
6 Sn 0.194 0.389 0.250
7 Ac 0.903 0.807 0.250
8 Ac 0.097 0.193 0.750

=====

(15)
The following is a DFT calculation (PBE-GGA) of an optimized crystal structure of ThUAsSe.

Mass density   11.15 g/cm³
Formation energy from raw total energies   -0.904 eV per atom
Space-group type   F-43m
Final energy   -0.280 hartree per atom
Crystal system   cubic

Cell: 5.085 5.085 5.085 Å, 60.00 60.00 60.00°
Element x y z (fractional)
1 Th 0.750 0.750 0.750
2 As 0.500 0.500 0.500
3 Se 0.000 0.000 0.000
4 U 0.250 0.250 0.250

=====

(16)
The following is a DFT calculation (PBE-GGA) of an optimized crystal structure of Tb3Er12Zr.

Mass density   8.86 g/cm³
Space-group type   P4/mmm
ΔE_f   0.035 eV/atom
Final energy   -0.176 hartree per atom
Crystal system   tetragonal

Cell: 4.945 4.945 19.739 Å, 90.00 90.00 90.00°
Element x y z (fractional)
1 Er 0.000 0.500 0.118
2 Er 0.000 0.500 0.882
3 Er 0.500 0.500 0.753
4 Er 0.000 0.500 0.373
5 Er 0.500 0.000 0.373
6 Er 0.000 0.500 0.627
7 Er 0.500 0.000 0.118
8 Er 0.500 0.500 0.000
9 Er 0.500 0.500 0.247
10 Er 0.500 0.000 0.882
11 Er 0.500 0.500 0.500
12 Er 0.500 0.000 0.627
13 Tb 0.000 0.000 0.248
14 Tb 0.000 0.000 0.500
15 Tb 0.000 0.000 0.752
16 Zr 0.000 0.000 0.000

=====

(17)
The following is a DFT calculation (PBE-GGA) of an optimized crystal structure of AcHgH7Pd2.

Mass density   8.38 g/cm³
Space-group type   I-4m2
Final energy   -0.134 hartree per atom
Crystal system   tetragonal

Cell: 3.834 3.834 9.142 Å, 102.11 102.11 90.00°
Element x y z (fractional)
1 Hg 0.250 0.750 0.500
2 H 0.400 0.900 0.800
3 H 0.785 0.785 0.570
4 H 0.215 0.215 0.430
5 H 0.000 0.000 0.000
6 H 0.894 0.394 0.788
7 H 0.100 0.600 0.200
8 H 0.606 0.106 0.212
9 Pd 0.110 0.110 0.220
10 Pd 0.890 0.890 0.780
11 Ac 0.500 0.500 0.000

=====

(18)
The following is a DFT calculation (PBE-GGA) of an optimized crystal structure of ZrP2RhO.

Mass density   5.36 g/cm³
Formation energy from raw total energies   -0.179 eV per atom
Space-group type   P4/mmm
Final energy   -0.239 hartree per atom
Crystal system   tetragonal

Cell: 4.780 4.780 3.688 Å, 90.00 90.00 90.00°
Element x y z (fractional)
1 P 0.500 0.000 0.000
2 P 0.000 0.500 0.000
3 Rh 0.000 0.000 0.000
4 Zr 0.500 0.500 0.500
5 O 0.000 0.000 0.500

=====

(19)
The following is a DFT calculation (PBE-GGA) of an optimized crystal structure of ZnFe2Pt.

Mass density   11.33 g/cm³
Space-group type   R3m
ΔE_f   -0.054 eV/atom
Final energy   -0.225 hartree per atom
Crystal system   trigonal

Cell: 8.397 8.397 8.397 Å, 18.95 18.95 18.95°
Element x y z (fractional)
1 Zn 0.746 0.746 0.746
2 Pt 0.502 0.502 0.502
3 Fe 0.995 0.995 0.995
4 Fe 0.256 0.256 0.256

=====

(20)
The following is a DFT calculation (PBE-GGA) of an optimized crystal structure of NaSn4Br8.

Mass density   3.65 g/cm³
Formation energy from raw total energies   -0.752 eV per atom
Space-group type   F-43m
Final energy   -0.114 hartree per atom
Crystal system   cubic

Cell: 9.007 9.007 9.007 Å, 60.00 60.00 60.00°
Element x y z (fractional)
1 Na 0.750 0.750 0.750
2 Br 0.137 0.589 0.137
3 Br 0.618 0.618 0.618
4 Br 0.137 0.137 0.589
5 Br 0.618 0.147 0.618
6 Br 0.137 0.137 0.137
7 Br 0.147 0.618 0.618
8 Br 0.589 0.137 0.137
9 Br 0.618 0.618 0.147
10 Sn 0.372 0.372 0.372
11 Sn 0.883 0.372 0.372
12 Sn 0.372 0.372 0.883
13 Sn 0.372 0.883 0.372